[1]
The following is a PBE calculation of an optimized crystal structure of SrCa2Ta2, from the Alexandria database.

Results
Crystal system: tetragonal
Space group: P4/mbm (127)

abc: 9.2861 9.2861 3.4521
angles: 90.00 90.00 90.00
Sites, in units of the cell vectors:
Ta  0.0927  0.4073  0.0000
Ta  0.4073  0.9073  0.0000
Ta  0.9073  0.5927  0.0000
Ta  0.5927  0.0927  0.0000
Sr  0.5000  0.5000  0.0000
Sr  0.0000  0.0000  0.0000
Ca  0.8077  0.3077  0.5000
Ca  0.6923  0.8077  0.5000
Ca  0.1923  0.6923  0.5000
Ca  0.3077  0.1923  0.5000

=====

[2]
The following is a PBE calculation of an optimized crystal structure of Sr2CaTa, from the Alexandria database.

Results
Crystal system: tetragonal
Space group: I-42d (122)

abc: 4.9054 4.9054 12.7786
angles: 78.93 78.93 90.00
Site moments in Bohr magnetons follow the coordinates.
Sites, in units of the cell vectors:
Sr  0.1094  0.6250  0.2500  0.02
Sr  0.8750  0.8906  0.7500  0.02
Sr  0.3750  0.3594  0.7500  0.02
Sr  0.6406  0.1250  0.2500  0.02
Ta  0.7500  0.2500  0.5000  1.73
Ta  0.0000  0.0000  0.0000  1.73
Ca  0.2500  0.7500  0.5000  0.07
Ca  0.5000  0.5000  0.0000  0.07

=====

[3]
The following is a PBE calculation of an optimized crystal structure of Sr2CaTa, from the Alexandria database.

Results
Crystal system: orthorhombic
Space group: Imm2 (44)

abc: 7.3875 7.3875 7.3875
angles: 151.63 129.78 58.68
Site moments in Bohr magnetons follow the coordinates.
Sites, in units of the cell vectors:
Ca  0.2925  0.7926  0.5000  0.01
Sr  0.0038  0.0038  0.0000  0.04
Sr  0.7098  0.2098  0.5000  0.01
Ta  0.4938  0.4938  0.0000  0.84

=====

E readings, ordered: -0.1888 -0.1158 -0.1287 Ha/atom
Fermi-level density of states readings, ordered: 0.609 0.497 1.028 states/eV per atom